1.
DFT (PBE-GGA) results for a geometry-optimized SmTeH structure.

Geometry as POSCAR:
```
SmTeH
1.0
3.5034 0.0000 0.0000
0.0000 3.5034 0.0000
-1.7517 -1.7517 5.3467
Te H Sm
1 1 1
direct
0.0101 0.0101 0.0202
0.2775 0.2775 0.5550
0.7124 0.7124 0.4248
```

Fermi-level density of states: 0.584 states/eV per atom
M_tot: 0.202 μB per formula unit
Volume: 65.6 Å³ per cell
Calculated total energy: -12.9 eV for the cell shown

2.
DFT (PBE-GGA) results for a geometry-optimized Sm4Te4H structure.

Geometry as POSCAR:
```
Sm4Te4H
1.0
6.2169 0.0000 0.0000
0.0000 8.9640 0.0000
0.0000 0.0000 8.9640
Te H Sm
8 2 8
direct
0.7233 0.0001 0.2799
0.2233 0.2201 0.5001
0.2767 0.7201 0.0001
0.2233 0.7799 0.4999
0.7233 0.9999 0.7201
0.7767 0.5001 0.7799
0.7767 0.4999 0.2201
0.2767 0.2799 0.9999
0.5000 0.5000 0.5000
0.0000 0.0000 0.0000
0.2260 0.0001 0.2120
0.7260 0.7120 0.4999
0.7260 0.2880 0.5001
0.2740 0.5001 0.7120
0.7740 0.2120 0.9999
0.2260 0.9999 0.7880
0.2740 0.4999 0.2880
0.7740 0.7880 0.0001
```

Fermi-level density of states: 0.677 states/eV per atom
M_tot: 0.000 μB per formula unit
Volume: 499.5 Å³ per cell
Calculated total energy: -92.4 eV for the cell shown

3.
DFT (PBE-GGA) results for a geometry-optimized Sm2Y4Te3H2 structure.

Geometry as POSCAR:
```
Sm2Y4Te3H2
1.0
4.4860 0.0000 0.0000
0.0000 4.4860 0.0000
-2.2430 -2.2430 13.2240
Sm Y Te H
2 4 3 2
direct
0.2932 0.2932 0.5864
0.7068 0.7068 0.4136
0.0841 0.5841 0.1681
0.9159 0.4159 0.8319
0.5841 0.0841 0.1681
0.4159 0.9159 0.8319
0.1717 0.1717 0.3435
0.8283 0.8283 0.6565
0.0000 0.0000 0.0000
0.5684 0.5684 0.1369
0.4316 0.4316 0.8631
```

Fermi-level density of states: 0.734 states/eV per atom
M_tot: 0.000 μB per formula unit
Volume: 266.1 Å³ per cell
Calculated total energy: -59.8 eV for the cell shown

4.
DFT (PBE-GGA) results for a geometry-optimized SmThH structure.

Geometry as POSCAR:
```
SmThH
1.0
-2.2322 -2.5383 -0.5817
2.0188 -1.2027 -2.4985
3.0910 -1.7004 5.6704
H Sm Th
1 1 1
direct
0.2209 0.2209 0.4418
0.7433 0.7433 0.4866
0.0358 0.0358 0.0716
```

Fermi-level density of states: 0.779 states/eV per atom
M_tot: 0.000 μB per formula unit
Volume: 73.2 Å³ per cell
Calculated total energy: -15.6 eV for the cell shown

> Which of these has the highest calculated total energy?

SmTeH